1.
MoIr2Pb | meta-GGA SCAN | single point on PBEsol structure

Lattice parameters (Å, degrees): 4.026 4.026 7.977 90.00 90.00 90.00
Space group I-4m2 (No. 119)
Inequivalent atoms, fractional coordinates:
Mo 0.000 0.000 0.000
Ir 0.000 0.000 0.500
Ir 0.000 0.500 0.750
Pb 0.000 0.500 0.250

Summary:
Electronic total energy ... -4.6126 Ry/atom
Calculated formation energy ... 0.46 eV per atom



2.
Te2MoIrPb | meta-GGA SCAN | single point on PBEsol structure

Lattice parameters (Å, degrees): 5.548 5.548 5.198 90.00 90.00 90.00
Space group P4/mmm (No. 123)
Inequivalent atoms, fractional coordinates:
Te 0.000 0.500 0.000
Mo 0.000 0.000 0.500
Ir 0.500 0.500 0.500
Pb 0.000 0.000 0.000

Summary:
Electronic total energy ... -3.6022 Ry/atom
Energy relative to the elements, uncorrected ... 2.244 eV/atom



3.
MoIrPbW2 | meta-GGA SCAN | single point on PBEsol structure

Lattice parameters (Å, degrees): 4.727 4.727 4.759 90.00 90.00 90.00
Space group P4/mmm (No. 123)
Inequivalent atoms, fractional coordinates:
Mo 0.000 0.000 0.000
Ir 0.000 0.000 0.500
Pb 0.500 0.500 0.500
W 0.000 0.500 0.000

Summary:
Electronic total energy ... -4.5771 Ry/atom
Calculated formation energy ... 1.95 eV per atom



4.
MoIr2Pd | meta-GGA SCAN | single point on PBEsol structure

Lattice parameters (Å, degrees): 6.163 6.163 6.163 90.00 90.00 90.00
Space group Fm-3m (No. 225)
Inequivalent atoms, fractional coordinates:
Mo 0.000 0.000 0.000
Ir 0.250 0.250 0.250
Pd 0.000 0.000 0.500

Summary:
Electronic total energy ... -3.8453 Ry/atom
Calculated formation energy ... 0.15 eV per atom



5.
Mo2IrPt | meta-GGA SCAN | single point on PBEsol structure

Lattice parameters (Å, degrees): 2.731 4.425 4.843 90.00 90.00 90.00
Space group Pmm2 (No. 25)
Inequivalent atoms, fractional coordinates:
Mo 0.000 0.000 0.000
Mo 0.000 0.500 0.336
Ir 0.500 0.000 0.496
Pt 0.500 0.500 0.837

Summary:
Electronic total energy ... -3.9103 Ry/atom
Calculated formation energy ... -0.44 eV per atom



6.
Mo2IrPt | meta-GGA SCAN | single point on PBEsol structure

Lattice parameters (Å, degrees): 3.281 3.281 5.604 90.00 90.00 90.00
Space group P4mm (No. 99)
Inequivalent atoms, fractional coordinates:
Mo 0.000 0.000 0.000
Mo 0.500 0.500 0.272
Ir 0.500 0.500 0.776
Pt 0.000 0.000 0.515

Summary:
Electronic total energy ... -3.8839 Ry/atom
Calculated formation energy ... -0.08 eV per atom